(1)
Entry from the Open Quantum Materials Database: crystalline LaMgCuSe2S at its relaxed geometry (GGA-PBE).

Computed properties:
V: 22.4 Å³ per atom
VASP energy: -4.7552 eV/atom
SG: Cmcm

a b c (Å): 6.5632 6.5632 10.9930
angles (deg): 90.00 90.00 145.36
Closest atoms and distances in Å follow each position.
Fractional coordinates of all 12 atoms:
Cu: 0.9813 0.0187 0.2500  2 S 2.39, 2 Se 2.46
Cu: 0.0187 0.9813 0.7500  2 S 2.39, 2 Se 2.46
La: 0.5000 0.5000 0.0000  4 Se 2.96, 2 S 2.98
La: 0.5000 0.5000 0.5000  4 Se 2.96, 2 S 2.98
Mg: 0.2517 0.7483 0.2500  2 S 2.80, 4 Se 2.85
Mg: 0.7483 0.2517 0.7500  2 S 2.80, 4 Se 2.85
S: 0.5913 0.4087 0.2500  2 Cu 2.39
S: 0.4087 0.5913 0.7500  2 Cu 2.39
Se: 0.8423 0.1577 0.0917  1 Cu 2.46
Se: 0.8423 0.1577 0.4083  1 Cu 2.46
Se: 0.1577 0.8423 0.5917  1 Cu 2.46
Se: 0.1577 0.8423 0.9083  1 Cu 2.46

=====

(2)
Entry from the Open Quantum Materials Database: crystalline LaMgCuTeS2 at its relaxed geometry (GGA-PBE).

Computed properties:
V: 24.5 Å³ per atom
VASP energy: -4.7608 eV/atom
SG: Cmcm

a b c (Å): 6.9068 6.9068 11.3598
angles (deg): 90.00 90.00 147.19
Closest atoms and distances in Å follow each position.
Fractional coordinates of all 12 atoms:
Cu: 0.9845 0.0155 0.2500  2 S 2.32
Cu: 0.0155 0.9845 0.7500  2 S 2.32
La: 0.5000 0.5000 0.0000  4 S 2.87
La: 0.5000 0.5000 0.5000  4 S 2.87
Mg: 0.3061 0.6939 0.2500  4 S 2.71
Mg: 0.6939 0.3061 0.7500  4 S 2.71
S: 0.8661 0.1339 0.0993  1 Cu 2.32
S: 0.8661 0.1339 0.4007  1 Cu 2.32
S: 0.1339 0.8661 0.5993  1 Cu 2.32
S: 0.1339 0.8661 0.9007  1 Cu 2.32
Te: 0.6191 0.3809 0.2500  2 Cu 2.64
Te: 0.3809 0.6191 0.7500  2 Cu 2.64

=====

(3)
Entry from the Open Quantum Materials Database: crystalline LaMgCuTe2Se at its relaxed geometry (GGA-PBE).

Computed properties:
V: 26.8 Å³ per atom
VASP energy: -4.2530 eV/atom
SG: Cmcm

a b c (Å): 7.0949 7.0949 11.4116
angles (deg): 90.00 90.00 146.02
Closest atoms and distances in Å follow each position.
Fractional coordinates of all 12 atoms:
Cu: 0.5202 0.4798 0.2500  2 Se 2.55, 2 Te 2.64
Cu: 0.4798 0.5202 0.7500  2 Se 2.55, 2 Te 2.64
La: 0.0000 0.0000 0.0000  2 Se 3.10, 4 Te 3.16
La: 0.0000 0.0000 0.5000  2 Se 3.10, 4 Te 3.16
Mg: 0.2561 0.7439 0.2500  2 Se 2.95, 4 Te 3.07
Mg: 0.7439 0.2561 0.7500  2 Se 2.95, 4 Te 3.07
Se: 0.9105 0.0895 0.2500  2 Cu 2.55
Se: 0.0895 0.9105 0.7500  2 Cu 2.55
Te: 0.6593 0.3407 0.0884  1 Cu 2.64
Te: 0.6593 0.3407 0.4116  1 Cu 2.64
Te: 0.3407 0.6593 0.5884  1 Cu 2.64
Te: 0.3407 0.6593 0.9116  1 Cu 2.64

=====

(4)
Entry from the Open Quantum Materials Database: crystalline LaMgCuTe3 at its relaxed geometry (GGA-PBE).

Computed properties:
V: 28.8 Å³ per atom
VASP energy: -4.1235 eV/atom
SG: Cmcm

a b c (Å): 7.2784 7.2784 11.8127
angles (deg): 90.00 90.00 33.55
Closest atoms and distances in Å follow each position.
Fractional coordinates of all 12 atoms:
Cu: 0.5241 0.5241 0.2500  4 Te 2.65-2.70
Cu: 0.4759 0.4759 0.7500  4 Te 2.65-2.70
La: 0.0000 0.0000 0.0000  6 Te 3.18-3.25
La: 0.0000 0.0000 0.5000  6 Te 3.18-3.25
Mg: 0.2272 0.2272 0.2500  6 Te 3.02-3.22
Mg: 0.7728 0.7728 0.7500  6 Te 3.02-3.22
Te: 0.6545 0.6545 0.0871  1 Cu 2.65
Te: 0.9027 0.9027 0.2500  2 Cu 2.70
Te: 0.6545 0.6545 0.4129  1 Cu 2.65
Te: 0.3455 0.3455 0.5871  1 Cu 2.65
Te: 0.0973 0.0973 0.7500  2 Cu 2.70
Te: 0.3455 0.3455 0.9129  1 Cu 2.65

=====

(5)
Entry from the Open Quantum Materials Database: crystalline LaCuMoOs at its relaxed geometry (GGA-PBE).

Computed properties:
ΔH_f (0 K): 0.75 eV/atom
V: 17.1 Å³ per atom
VASP energy: -6.9259 eV/atom
distance to the lowest polymorph of the same formula: 354 meV per atom
SG: F-43m

a b c (Å): 4.5897 4.5897 4.5897
angles (deg): 60.00 60.00 60.00
Closest atoms and distances in Å follow each position.
Fractional coordinates of all 4 atoms:
Cu: 0.7500 0.7500 0.7500  4 Os 2.81, 4 Mo 2.81
La: 0.2500 0.2500 0.2500  4 Mo 2.81, 4 Os 2.81
Mo: 0.0000 0.0000 0.0000  4 La 2.81, 4 Cu 2.81
Os: 0.5000 0.5000 0.5000  4 Cu 2.81, 4 La 2.81

=====

(6)
Entry from the Open Quantum Materials Database: crystalline LaCuMoOs at its relaxed geometry (GGA-PBE).

Computed properties:
ΔH_f (0 K): 0.40 eV/atom
V: 17.5 Å³ per atom
VASP energy: -7.2800 eV/atom
distance to the lowest polymorph of the same formula: 0 meV per atom
SG: F-43m

a b c (Å): 4.6253 4.6253 4.6253
angles (deg): 60.00 60.00 60.00
Closest atoms and distances in Å follow each position.
Fractional coordinates of all 4 atoms:
Cu: 0.7500 0.7500 0.7500  4 Os 2.83, 4 La 2.83
La: 0.0000 0.0000 0.0000  4 Mo 2.83, 4 Cu 2.83
Mo: 0.2500 0.2500 0.2500  4 La 2.83, 4 Os 2.83
Os: 0.5000 0.5000 0.5000  4 Cu 2.83, 4 Mo 2.83

=====

(7)
Entry from the Open Quantum Materials Database: crystalline LaCuMoOs at its relaxed geometry (GGA-PBE).

Computed properties:
ΔH_f (0 K): 0.49 eV/atom
V: 18.4 Å³ per atom
VASP energy: -7.1866 eV/atom
distance to the lowest polymorph of the same formula: 93 meV per atom
SG: F-43m

a b c (Å): 4.7016 4.7016 4.7016
angles (deg): 60.00 60.00 60.00
Closest atoms and distances in Å follow each position.
Fractional coordinates of all 4 atoms:
Cu: 0.7500 0.7500 0.7500  4 Mo 2.88, 4 La 2.88
La: 0.5000 0.5000 0.5000  4 Cu 2.88, 4 Os 2.88
Mo: 0.0000 0.0000 0.0000  4 Cu 2.88, 4 Os 2.88
Os: 0.2500 0.2500 0.2500  4 La 2.88, 4 Mo 2.88

=====

(8)
Entry from the Open Quantum Materials Database: crystalline NaLaCuTe3 at its relaxed geometry (GGA-PBE).

Computed properties:
V: 31.0 Å³ per atom
VASP energy: -4.0999 eV/atom
SG: Cmcm

a b c (Å): 7.5153 7.5153 11.9090
angles (deg): 90.00 90.00 146.41
Closest atoms and distances in Å follow each position.
Fractional coordinates of all 12 atoms:
Cu: 0.0277 0.9723 0.2500  4 Te 2.64-2.68
Cu: 0.9723 0.0277 0.7500  4 Te 2.64-2.68
La: 0.5000 0.5000 0.0000  6 Te 3.19-3.20
La: 0.5000 0.5000 0.5000  6 Te 3.19-3.20
Na: 0.7436 0.2564 0.2500  6 Te 3.26-3.32
Na: 0.2564 0.7436 0.7500  6 Te 3.26-3.32
Te: 0.1474 0.8526 0.0821  1 Cu 2.64
Te: 0.4183 0.5817 0.2500  2 Cu 2.68
Te: 0.1474 0.8526 0.4179  1 Cu 2.64
Te: 0.8526 0.1474 0.5821  1 Cu 2.64
Te: 0.5817 0.4183 0.7500  2 Cu 2.68
Te: 0.8526 0.1474 0.9179  1 Cu 2.64

=====

(9)
Entry from the Open Quantum Materials Database: crystalline LaNbCu at its relaxed geometry (GGA-PBE).

Computed properties:
ΔH_f (0 K): 1.26 eV/atom
V: 24.2 Å³ per atom
VASP energy: -4.9864 eV/atom
distance to the lowest polymorph of the same formula: 384 meV per atom
SG: F-43m

a b c (Å): 4.6810 4.6810 4.6810
angles (deg): 60.00 60.00 60.00
Closest atoms and distances in Å follow each position.
Fractional coordinates of all 3 atoms:
Cu: 0.2500 0.2500 0.2500  4 La 2.87
La: 0.0000 0.0000 0.0000  4 Cu 2.87, 4 Nb 2.87
Nb: 0.7500 0.7500 0.7500  4 La 2.87

=====

(10)
Entry from the Open Quantum Materials Database: crystalline LaNbCu at its relaxed geometry (GGA-PBE).

Computed properties:
ΔH_f (0 K): 0.87 eV/atom
V: 23.2 Å³ per atom
VASP energy: -5.3708 eV/atom
distance to the lowest polymorph of the same formula: 0 meV per atom
SG: F-43m

a b c (Å): 4.6168 4.6168 4.6168
angles (deg): 60.00 60.00 60.00
Closest atoms and distances in Å follow each position.
Fractional coordinates of all 3 atoms:
Cu: 0.2500 0.2500 0.2500  4 Nb 2.83
La: 0.7500 0.7500 0.7500  4 Nb 2.83
Nb: 0.0000 0.0000 0.0000  4 La 2.83, 4 Cu 2.83

=====

(11)
Entry from the Open Quantum Materials Database: crystalline LaNdCu2 at its relaxed geometry (GGA-PBE).

Computed properties:
ΔH_f (0 K): -0.18 eV/atom
V: 23.6 Å³ per atom
VASP energy: -4.4580 eV/atom
distance to the lowest polymorph of the same formula: 5 meV per atom
SG: Pmn2_1

a b c (Å): 4.5751 7.3594 5.6120
angles (deg): 90.00 90.00 90.00
Closest atoms and distances in Å follow each position.
Fractional coordinates of all 8 atoms:
Cu: 0.0000 0.7790 0.1240  2 Cu 2.72, 1 Nd 2.93, 1 La 2.98
Cu: 0.0000 0.2877 0.3772  2 Cu 2.72, 1 Nd 2.95, 1 La 3.00
Cu: 0.5000 0.2210 0.6240  2 Cu 2.72, 1 Nd 2.93, 1 La 2.98
Cu: 0.5000 0.7123 0.8772  2 Cu 2.72, 1 Nd 2.95, 1 La 3.00
La: 0.5000 0.0711 0.1302  7 Cu 2.98-3.14
La: 0.0000 0.9289 0.6302  7 Cu 2.98-3.14
Nd: 0.5000 0.5681 0.3685  7 Cu 2.93-3.09
Nd: 0.0000 0.4319 0.8685  7 Cu 2.93-3.09

=====

(12)
Entry from the Open Quantum Materials Database: crystalline LaNdCu2 at its relaxed geometry (GGA-PBE).

Computed properties:
ΔH_f (0 K): -0.18 eV/atom
V: 23.7 Å³ per atom
VASP energy: -4.4608 eV/atom
distance to the lowest polymorph of the same formula: 2 meV per atom
SG: Pmc2_1

a b c (Å): 4.5531 5.6524 7.3687
angles (deg): 90.00 90.00 90.00
Closest atoms and distances in Å follow each position.
Fractional coordinates of all 8 atoms:
Cu: 0.5000 0.6345 0.0338  2 Cu 2.69, 2 Nd 2.94-2.97
Cu: 0.0000 0.1293 0.4651  2 Cu 2.69, 2 La 2.97-3.00
Cu: 0.5000 0.3655 0.5338  2 Cu 2.69, 2 Nd 2.94-2.97
Cu: 0.0000 0.8707 0.9651  2 Cu 2.69, 2 La 2.97-3.00
La: 0.0000 0.6253 0.3210  7 Cu 2.97-3.13
La: 0.0000 0.3747 0.8210  7 Cu 2.97-3.13
Nd: 0.5000 0.1240 0.1801  7 Cu 2.94-3.12
Nd: 0.5000 0.8760 0.6801  7 Cu 2.94-3.12

=====

Number 7 is which compound? LaCuMoOs

=====

V of number 7 (LaCuMoOs)? 18.4 Å³ per atom

=====

The highest VASP energy belongs to which entry? NaLaCuTe3